VASP calculation (PBE-GGA) on LaTbY5Ho2 after structural relaxation.

```
LaTbY5Ho2
1.0
-1.347 4.587 -3.011
-3.897 -8.088 -5.278
-9.025 0.860 5.346
Y Tb Ho La
10 2 4 2
Direct
0.522 0.043 0.235
0.617 0.234 0.524
0.722 0.444 0.821
0.984 0.967 0.523
0.703 0.405 0.209
0.297 0.595 0.709
0.016 0.033 0.023
0.383 0.766 0.024
0.278 0.556 0.321
0.478 0.957 0.735
0.803 0.606 0.514
0.197 0.394 0.014
0.112 0.225 0.319
0.888 0.775 0.819
0.888 0.776 0.234
0.112 0.224 0.734
0.583 0.166 0.946
0.417 0.834 0.446
```

Computed properties:
Total magnetic moment (μB/f.u.): 0.0
Formation energy from the elements (meV/atom): 165



VASP calculation (PBE-GGA) on La2Tb5YHo after structural relaxation.

```
La2Tb5YHo
1.0
5.670 0.000 0.000
-2.835 10.012 0.000
0.000 0.000 10.727
Tb Y La Ho
10 2 4 2
Direct
0.280 0.560 0.309
0.701 0.402 0.207
0.299 0.598 0.707
0.720 0.440 0.809
0.481 0.961 0.741
0.387 0.774 0.022
0.519 0.039 0.241
0.613 0.226 0.522
0.016 0.032 0.023
0.984 0.968 0.523
0.589 0.178 0.961
0.411 0.822 0.461
0.116 0.232 0.318
0.884 0.768 0.818
0.113 0.227 0.733
0.887 0.773 0.233
0.799 0.598 0.511
0.201 0.402 0.011
```

Computed properties:
Total magnetic moment (μB/f.u.): 0.0
Formation energy from the elements (meV/atom): 140



VASP calculation (PBE-GGA) on La4Tb2YHo2 after structural relaxation.

```
La4Tb2YHo2
1.0
3.645 0.000 0.000
-1.823 9.307 1.632
0.000 -1.533 8.772
La Tb Ho Y
4 2 2 1
Direct
0.444 0.889 0.670
0.223 0.446 0.327
0.556 0.111 0.330
0.777 0.554 0.673
0.111 0.222 0.672
0.889 0.778 0.328
0.334 0.667 0.002
0.666 0.333 0.998
0.000 0.000 0.000
```

Computed properties:
Total magnetic moment (μB/f.u.): 0.0
Formation energy from the elements (meV/atom): 28



VASP calculation (PBE-GGA) on La2Tb3YHo6 after structural relaxation.

```
La2Tb3YHo6
1.0
6.197 0.000 0.012
-3.097 5.368 0.012
-1.054 -1.825 11.630
Ho Tb La Y
6 3 2 1
Direct
0.915 0.582 0.746
0.248 0.248 0.746
0.085 0.418 0.254
0.752 0.752 0.254
0.582 0.915 0.746
0.418 0.085 0.254
0.834 0.166 0.500
0.500 0.500 0.500
0.166 0.834 0.500
0.667 0.333 0.000
0.333 0.667 0.000
0.000 0.000 0.000
```

Computed properties:
Total magnetic moment (μB/f.u.): 0.0
Formation energy from the elements (meV/atom): 21



VASP calculation (PBE-GGA) on LaTb6Y3Ho2 after structural relaxation.

```
LaTb6Y3Ho2
1.0
6.188 0.001 0.017
-3.092 5.360 0.017
-1.059 -1.834 11.664
Tb Y La Ho
6 3 1 2
Direct
0.581 0.915 0.749
0.419 0.085 0.251
0.250 0.250 0.749
0.915 0.581 0.749
0.085 0.419 0.251
0.750 0.750 0.251
0.167 0.833 0.500
0.500 0.500 0.500
0.833 0.167 0.500
0.000 0.000 0.000
0.333 0.667 0.000
0.667 0.333 0.000
```

Computed properties:
Total magnetic moment (μB/f.u.): 0.0
Formation energy from the elements (meV/atom): 21



VASP calculation (PBE-GGA) on La5TbYHo2 after structural relaxation.

```
La5TbYHo2
1.0
-4.970 0.676 -2.271
2.566 -10.755 -2.140
-4.572 -2.909 9.138
La Ho Tb Y
10 4 2 2
Direct
0.500 0.999 0.258
0.623 0.246 0.508
0.000 0.999 0.508
0.000 0.001 0.008
0.377 0.754 0.008
0.720 0.440 0.199
0.500 0.001 0.758
0.721 0.443 0.819
0.280 0.560 0.699
0.279 0.557 0.319
0.887 0.774 0.758
0.113 0.226 0.258
0.114 0.228 0.758
0.886 0.772 0.258
0.788 0.577 0.509
0.212 0.423 0.009
0.601 0.201 0.008
0.399 0.799 0.508
```

Computed properties:
Total magnetic moment (μB/f.u.): 0.0
Formation energy from the elements (meV/atom): 129



VASP calculation (PBE-GGA) on LaHo4Tc after structural relaxation.

```
LaHo4Tc
1.0
3.764 0.000 0.000
0.000 8.818 0.000
0.000 0.000 20.632
La Ho Tc
4 16 4
Direct
0.250 0.274 0.188
0.750 0.726 0.812
0.750 0.226 0.688
0.250 0.774 0.312
0.250 0.149 0.360
0.750 0.866 0.458
0.750 0.992 0.934
0.250 0.508 0.434
0.750 0.851 0.640
0.250 0.634 0.958
0.250 0.649 0.140
0.750 0.492 0.566
0.750 0.366 0.042
0.750 0.958 0.204
0.750 0.351 0.860
0.250 0.042 0.796
0.250 0.542 0.704
0.250 0.134 0.542
0.750 0.458 0.296
0.250 0.008 0.066
0.250 0.739 0.546
0.750 0.761 0.046
0.250 0.239 0.954
0.750 0.261 0.454
```

Computed properties:
Total magnetic moment (μB/f.u.): 0.0
Formation energy from the elements (meV/atom): -6



VASP calculation (PBE-GGA) on La2HoTc after structural relaxation.

```
La2HoTc
1.0
-2.859 -0.591 2.841
2.753 -5.619 -1.295
6.408 1.578 6.776
Ho La Tc
2 4 2
Direct
0.078 0.160 0.250
0.922 0.840 0.750
0.359 0.718 0.071
0.641 0.282 0.571
0.641 0.282 0.929
0.359 0.718 0.429
0.737 0.481 0.250
0.263 0.519 0.750
```

Computed properties:
Total magnetic moment (μB/f.u.): 0.0
Formation energy from the elements (meV/atom): -26



VASP calculation (PBE-GGA) on La3HoTc after structural relaxation.

```
La3HoTc
1.0
5.545 0.000 0.000
0.000 5.545 0.000
0.000 0.000 5.545
Ho La Tc
1 3 1
Direct
0.500 0.500 0.500
0.000 0.500 0.000
0.500 0.000 0.000
0.000 0.000 0.500
0.000 0.000 0.000
```

Computed properties:
Total magnetic moment (μB/f.u.): 0.0
Formation energy from the elements (meV/atom): 104



VASP calculation (PBE-GGA) on LaHoTc4 after structural relaxation.

```
LaHoTc4
1.0
-2.160 3.910 3.147
-4.956 1.997 -1.140
-4.225 -1.147 3.269
Tc Ho La
4 1 1
Direct
0.625 0.124 0.625
0.625 0.625 0.124
0.124 0.625 0.625
0.625 0.625 0.625
0.000 0.000 0.000
0.250 0.250 0.250
```

Computed properties:
Total magnetic moment (μB/f.u.): 0.2
Formation energy from the elements (meV/atom): 9



VASP calculation (PBE-GGA) on LaHo3Tc after structural relaxation.

```
LaHo3Tc
1.0
3.815 0.000 0.000
0.000 8.473 -1.739
0.000 -0.006 8.800
Tc La Ho
2 2 6
Direct
0.750 0.237 0.900
0.250 0.763 0.100
0.750 0.332 0.487
0.250 0.668 0.513
0.750 0.842 0.894
0.750 0.923 0.313
0.750 0.527 0.161
0.250 0.473 0.839
0.250 0.158 0.106
0.250 0.077 0.687
```

Computed properties:
Total magnetic moment (μB/f.u.): 0.0
Relative energy among the computed polymorphs (meV/atom): 0
Formation energy from the elements (meV/atom): -65



VASP calculation (PBE-GGA) on LaHo3Tc after structural relaxation.

```
LaHo3Tc
1.0
-1.175 -5.065 1.486
5.109 -1.474 -0.987
1.329 1.189 5.105
Ho La Tc
3 1 1
Direct
0.500 0.000 0.000
0.000 0.500 0.000
0.000 0.000 0.500
0.500 0.500 0.500
0.000 0.000 0.000
```

Computed properties:
Total magnetic moment (μB/f.u.): 0.0
Relative energy among the computed polymorphs (meV/atom): 156
Formation energy from the elements (meV/atom): 91